Here is crystalline BaBeBr2 at its relaxed geometry from the Alexandria database. Energies are from GGA-PBE.

**E**: -2.77 eV per atom
**Total magnetization**: 0.0 μB/f.u.
**Uncorrected formation energy**: -2.1 eV per formula unit

abc: 7.918 7.918 7.918
angles: 90.00 90.00 90.00
Positions (direct):
Ba (0.000, 0.000, 0.000)
Ba (0.000, 0.500, 0.500)
Ba (0.500, 0.000, 0.500)
Ba (0.500, 0.500, 0.000)
Be (0.250, 0.250, 0.750)
Be (0.250, 0.750, 0.250)
Be (0.750, 0.250, 0.250)
Be (0.750, 0.750, 0.750)
Br (0.000, 0.000, 0.500)
Br (0.000, 0.500, 0.000)
Br (0.250, 0.250, 0.250)
Br (0.250, 0.750, 0.750)
Br (0.500, 0.000, 0.000)
Br (0.500, 0.500, 0.500)
Br (0.750, 0.250, 0.750)
Br (0.750, 0.750, 0.250)